First-principles (GGA-PBE) data for a relaxed structure of NpPaH2, as listed in Alexandria.

Values from the calculation:
Total magnetization: 2.42 μB/f.u.
Calculated total energy: -6.96 eV/atom
DOS at the Fermi energy: 5.7 states/eV/cell

a b c (Å): 4.1070 4.1070 2.9195
angles (deg): 90.00 90.00 90.00
Space group P4/mmm (No. 123)
Inequivalent atoms, fractional coordinates:
1 Np 0.0000 0.0000 0.0000 [1 per cell]
2 Pa 0.5000 0.5000 0.0000 [1 per cell]
3 H 0.0000 0.5000 0.5000 [2 per cell]



First-principles (GGA-PBE) data for a relaxed structure of NpPaH2, as listed in Alexandria.

Values from the calculation:
Total magnetization: 3.56 μB/f.u.
Calculated total energy: -7.22 eV/atom
DOS at the Fermi energy: 18.0 states/eV/cell

a b c (Å): 3.0975 3.0975 21.1033
angles (deg): 90.00 90.00 120.00
Space group R-3m (No. 166, hexagonal axes)
Inequivalent atoms, fractional coordinates:
1 Np 0.0000 0.0000 0.0000 [3 per cell]
2 Pa 0.0000 0.0000 0.5000 [3 per cell]
3 H 0.0000 0.0000 0.3959 [6 per cell]



First-principles (GGA-PBE) data for a relaxed structure of NpH6Pd3, as listed in Alexandria.

Values from the calculation:
Total magnetization: 3.96 μB/f.u.
Calculated total energy: -4.98 eV/atom
DOS at the Fermi energy: 11.8 states/eV/cell

a b c (Å): 4.9572 4.9593 5.2701
angles (deg): 90.04 117.83 119.97
Space group P1 (No. 1)
Inequivalent atoms, fractional coordinates:
1 Np 0.0000 0.0000 0.0000 [1 per cell]
2 H 0.0104 0.1419 0.5212 [1 per cell]
3 H 0.0180 0.4914 0.0355 [1 per cell]
4 H 0.3783 0.8661 0.5230 [1 per cell]
5 H 0.5079 0.0170 0.0346 [1 per cell]
6 H 0.5422 0.5262 0.0336 [1 per cell]
7 H 0.6555 0.5134 0.5235 [1 per cell]
8 Pd 0.4848 0.2420 0.7262 [1 per cell]
9 Pd 0.5213 0.7607 0.2829 [1 per cell]
10 Pd 0.9316 0.4653 0.3988 [1 per cell]



First-principles (GGA-PBE) data for a relaxed structure of NpH3Pd, as listed in Alexandria.

Values from the calculation:
Total magnetization: 4.96 μB/f.u.
Calculated total energy: -5.78 eV/atom
DOS at the Fermi energy: 7.2 states/eV/cell

a b c (Å): 3.7325 3.7325 3.7325
angles (deg): 90.00 90.00 90.00
Space group Pm-3m (No. 221)
Inequivalent atoms, fractional coordinates:
1 Np 0.0000 0.0000 0.0000 [1 per cell]
2 H 0.0000 0.5000 0.5000 [3 per cell]
3 Pd 0.5000 0.5000 0.5000 [1 per cell]



First-principles (GGA-PBE) data for a relaxed structure of NpH6Pd5, as listed in Alexandria.

Values from the calculation:
Total magnetization: 3.98 μB/f.u.
Calculated total energy: -5.07 eV/atom
DOS at the Fermi energy: 8.9 states/eV/cell

a b c (Å): 4.1311 5.2940 6.7710
angles (deg): 67.16 85.57 70.32
Space group P-1 (No. 2)
Inequivalent atoms, fractional coordinates:
1 Np 0.0000 0.0000 0.0000 [1 per cell]
2 H 0.1027 0.3337 0.4251 [2 per cell]
3 H 0.3155 0.9718 0.2942 [2 per cell]
4 H 0.4127 0.3741 0.9032 [2 per cell]
5 Pd 0.0000 0.0000 0.5000 [1 per cell]
6 Pd 0.3031 0.3436 0.6584 [2 per cell]
7 Pd 0.3653 0.3353 0.1844 [2 per cell]



First-principles (GGA-PBE) data for a relaxed structure of NpH8Pd6, as listed in Alexandria.

Values from the calculation:
Total magnetization: 3.96 μB/f.u.
Calculated total energy: -4.82 eV/atom
DOS at the Fermi energy: 31.6 states/eV/cell

a b c (Å): 5.8076 5.8076 15.4005
angles (deg): 90.00 90.00 120.00
Space group R-3m (No. 166, hexagonal axes)
Inequivalent atoms, fractional coordinates:
1 Np 0.0000 0.0000 0.0000 [3 per cell]
2 H 0.0000 0.0000 0.3026 [6 per cell]
3 H 0.0275 0.5137 0.7894 [18 per cell]
4 Pd 0.0103 0.5051 0.9104 [18 per cell]



First-principles (GGA-PBE) data for a relaxed structure of NpH6Pd8, as listed in Alexandria.

Values from the calculation:
Total magnetization: 3.31 μB/f.u.
Calculated total energy: -5.15 eV/atom
DOS at the Fermi energy: 13.1 states/eV/cell

a b c (Å): 4.0858 6.3864 6.9239
angles (deg): 105.73 90.05 108.60
Space group P-1 (No. 2)
Inequivalent atoms, fractional coordinates:
1 Np 0.0000 0.0000 0.0000 [1 per cell]
2 H 0.0740 0.1522 0.3818 [2 per cell]
3 H 0.2968 0.5814 0.7043 [2 per cell]
4 H 0.3759 0.7592 0.2820 [2 per cell]
5 Pd 0.1142 0.2285 0.6751 [2 per cell]
6 Pd 0.2209 0.4406 0.3255 [2 per cell]
7 Pd 0.3350 0.6705 0.9981 [2 per cell]
8 Pd 0.4462 0.8925 0.6692 [2 per cell]



First-principles (GGA-PBE) data for a relaxed structure of Np3H12Pd5, as listed in Alexandria.

Values from the calculation:
Total magnetization: 13.35 μB/f.u.
Calculated total energy: -5.31 eV/atom
DOS at the Fermi energy: 207.9 states/eV/cell

a b c (Å): 11.8867 11.8867 11.8867
angles (deg): 90.00 90.00 90.00
Space group Ia-3d (No. 230)
Inequivalent atoms, fractional coordinates:
1 Np 0.0000 0.2500 0.1250 [24 per cell]
2 H 0.0311 0.0542 0.6420 [96 per cell]
3 Pd 0.0000 0.0000 0.0000 [16 per cell]
4 Pd 0.0000 0.2500 0.3750 [24 per cell]